# TbDy2Tm

Crystalline TbDy2Tm at its relaxed geometry (PBE, the Alexandria database).

Properties
- E: -4.56 eV per atom
- D(E_F): 5.1 states/eV/cell
- Total moment: 0.00 μB/cell

Geometry as CIF:
```
data_TbDy2Tm
_space_group_name_H-M_alt 'P 4/m m m'
_space_group_IT_number 123
_space_group_name_Hall '-P 4 2'
_cell_length_a 3.525
_cell_length_b 3.525
_cell_length_c 9.976
_cell_angle_alpha 90.00
_cell_angle_beta 90.00
_cell_angle_gamma 90.00
loop_
_atom_site_label
_atom_site_type_symbol
_atom_site_fract_x
_atom_site_fract_y
_atom_site_fract_z
Tb1 Tb 0.000 0.000 0.000
Dy1 Dy 0.500 0.500 0.252
Tm1 Tm 0.000 0.000 0.500
```